(1)
! KGaIr, relaxed, DFT PBE; values from VASP
! DFT total energy ... -0.2033 Ry per atom
! Calculated volume ... 84 Å³/cell
&SYSTEM
  ibrav = 0, nat = 3, ntyp = 3
/
ATOMIC_SPECIES
Ir 192.22 Ir.upf
Ga 69.72 Ga.upf
K 39.10 K.upf
ATOMIC_POSITIONS crystal
Ir 0.750 0.750 0.750
Ga 0.250 0.250 0.250
K 0.000 0.000 0.000
CELL_PARAMETERS angstrom
0.000 3.475 3.475
3.475 0.000 3.475
3.475 3.475 0.000

(2)
! Lu4SbAsC2, relaxed, DFT PBE; values from VASP
! DFT total energy ... -0.4717 Ry per atom
! Calculated volume ... 157 Å³/cell
&SYSTEM
  ibrav = 0, nat = 8, ntyp = 4
/
ATOMIC_SPECIES
Sb 121.76 Sb.upf
C 12.01 C.upf
Lu 174.97 Lu.upf
As 74.92 As.upf
ATOMIC_POSITIONS crystal
Sb 0.333 0.667 0.000
C 0.667 0.333 0.740
Lu 0.333 0.667 0.645
Lu 0.333 0.667 0.355
Lu 0.000 0.000 0.173
C 0.667 0.333 0.260
As 0.000 0.000 0.500
Lu 0.000 0.000 0.827
CELL_PARAMETERS angstrom
3.579 0.000 0.000
-1.790 3.100 0.000
0.000 0.000 14.184

(3)
! PaTaNO, relaxed, DFT PBE; values from VASP
! DFT total energy ... -0.7041 Ry per atom
! Calculated volume ... 252 Å³/cell
&SYSTEM
  ibrav = 0, nat = 16, ntyp = 4
/
ATOMIC_SPECIES
Pa 231.04 Pa.upf
O 16.00 O.upf
N 14.01 N.upf
Ta 180.95 Ta.upf
ATOMIC_POSITIONS crystal
Pa 0.935 0.145 0.509
Pa 0.065 0.855 0.009
O 0.573 0.542 0.659
O 0.073 0.458 0.659
Pa 0.435 0.855 0.509
O 0.927 0.542 0.159
Pa 0.565 0.145 0.009
N 0.426 0.852 0.017
Ta 0.644 0.661 0.017
O 0.427 0.458 0.159
N 0.574 0.148 0.517
Ta 0.356 0.339 0.517
N 0.926 0.148 0.017
N 0.074 0.852 0.517
Ta 0.144 0.339 0.017
Ta 0.856 0.661 0.517
CELL_PARAMETERS angstrom
6.563 0.000 0.000
0.000 7.404 0.000
0.000 0.000 5.185